[1]
Computed, not measured: crystalline MnGeNF2 at its relaxed geometry at the PBEsol level of DFT.

Unit cell a=3.9301 b=3.9301 c=3.8623 alpha=90.00 beta=90.00 gamma=90.00
With the nearest neighbours (Å) after each atom.
Sites, in units of the cell vectors:
N1 0.0000 0.0000 0.5000  2 Mn 1.93
F1 0.5000 0.0000 0.0000  2 Mn 1.97
F2 0.0000 0.5000 0.0000  2 Mn 1.97
Ge1 0.5000 0.5000 0.5000  8 F 2.76, 4 N 2.78
Mn1 0.0000 0.0000 0.0000  2 N 1.93, 4 F 1.97

Computed properties:
Relative energy among the computed polymorphs ... 0.0 meV per atom
DOS at the Fermi energy ... 1.41 states/eV/cell



[2]
Computed, not measured: crystalline MnGeNF2 at its relaxed geometry at the PBEsol level of DFT.

Unit cell a=3.7201 b=4.0658 c=4.0658 alpha=90.00 beta=90.00 gamma=90.00
With the nearest neighbours (Å) after each atom.
Sites, in units of the cell vectors:
F1 0.0000 0.0000 0.5000  2 Ge 2.03
N1 0.5000 0.0000 0.0000  2 Ge 1.86
F2 0.0000 0.5000 0.0000  2 Ge 2.03
Ge1 0.0000 0.0000 0.0000  2 N 1.86, 4 F 2.03
Mn1 0.5000 0.5000 0.5000  8 F 2.76, 4 N 2.87

Computed properties:
Relative energy among the computed polymorphs ... 284.0 meV per atom
DOS at the Fermi energy ... 1.48 states/eV/cell



Number 1: E_form (uncorrected) -779 meV per atom. Number 2: E_form (uncorrected) -495 meV per atom.